(1)
A relaxed ZrNi2Cl crystal. Source: Alexandria, functional PBE.

As for the space group: No. 139. As for the magnetization: 0.00 μB/atom. Its total DFT energy (no corrections) is -5.475 eV/atom. The value obtained for the volume is 15.21 Å³ per atom. The density of states at the Fermi level is 0.704 states/eV/atom. The calculation puts the polymorph energy (0 for the lowest one) at 0.3416 eV/atom. Its formation energy (no corrections) is 0.01 eV/atom.

Structure (extended XYZ):
```
4
Lattice="-4.293 -1.509 -2.568 -0.167 -4.634 -2.409 1.320 1.979 4.652" Properties=species:S:1:pos:R:3 pbc="T T T"
Cl -2.602 -1.300 -0.202
Ni 0.000 0.000 0.000
Ni -2.230 -3.071 -2.488
Zr -0.539 -2.863 -0.123
```

***

(2)
A relaxed PuZrInPb crystal. Source: Alexandria, functional PBE.

As for the space group: No. 216. As for the magnetization: 1.59 μB/atom. Its total DFT energy (no corrections) is -7.382 eV/atom. The value obtained for the volume is 25.45 Å³ per atom. The density of states at the Fermi level is 2.717 states/eV/atom. Its formation enthalpy at 0 K is -0.050 eV/atom.

Structure (extended XYZ):
```
4
Lattice="5.241 0.000 0.000 2.620 4.539 0.000 2.620 1.513 4.279" Properties=species:S:1:pos:R:3 pbc="T T T"
Pb 0.000 0.000 0.000
In 5.241 3.026 2.140
Zr 7.861 4.539 3.209
Pu 2.620 1.513 1.070
```

***

(3)
A relaxed AsRuRh2 crystal. Source: Alexandria, functional PBE.

As for the space group: No. 65. As for the magnetization: 0.00 μB/atom. Its total DFT energy (no corrections) is -7.138 eV/atom. The value obtained for the volume is 14.47 Å³ per atom. The density of states at the Fermi level is 1.295 states/eV/atom. Its formation enthalpy at 0 K is 0.019 eV/atom.

Structure (extended XYZ):
```
4
Lattice="4.665 -0.002 0.000 -1.566 4.395 0.000 0.000 0.000 2.823" Properties=species:S:1:pos:R:3 pbc="T T T"
Ru 2.333 -0.001 1.412
As -0.783 2.197 1.412
Rh 0.000 0.000 0.000
Rh 1.550 2.196 0.000
```

***

(4)
A relaxed Nd4Sm2Tm crystal. Source: Alexandria, functional PBE.

As for the space group: No. 43. As for the magnetization: 0.00 μB/atom. Its total DFT energy (no corrections) is -4.652 eV/atom. The value obtained for the volume is 34.33 Å³ per atom. The density of states at the Fermi level is 1.553 states/eV/atom. Its formation enthalpy at 0 K is 0.059 eV/atom. The calculation puts the polymorph energy (0 for the lowest one) at 0.0000 eV/atom.

Structure (extended XYZ):
```
14
Lattice="-8.878 8.373 -3.247 3.791 -9.748 7.078 4.642 4.530 2.255" Properties=species:S:1:pos:R:3 pbc="T T T"
Nd -1.642 8.184 0.886
Nd 2.844 -3.816 5.306
Nd 5.538 -2.149 7.054
Nd -4.524 6.659 -0.382
Nd 3.024 1.602 2.295
Nd -2.084 -0.528 2.711
Nd -0.238 2.416 3.452
Nd -0.700 1.344 0.024
Sm -2.303 4.328 1.141
Sm -7.591 6.954 -2.174
Sm 5.139 -5.670 7.437
Sm 4.096 0.761 5.591
Tm 1.130 -0.749 4.507
Tm -4.358 1.515 0.799
```

***

(5)
A relaxed Y4TaTl crystal. Source: Alexandria, functional PBE.

As for the space group: No. 216. As for the magnetization: 0.07 μB/atom. Its total DFT energy (no corrections) is -6.018 eV/atom. The value obtained for the volume is 27.62 Å³ per atom. The density of states at the Fermi level is 1.149 states/eV/atom. Its formation enthalpy at 0 K is 0.662 eV/atom.

Structure (extended XYZ):
```
6
Lattice="0.000 4.359 4.359 4.359 0.000 4.359 4.359 4.359 0.000" Properties=species:S:1:pos:R:3 pbc="T T T"
Y 3.282 5.437 5.437
Y 5.437 5.437 3.282
Y 5.437 3.282 5.437
Y 3.282 3.282 3.282
Ta 6.539 6.539 6.539
Tl 0.000 0.000 0.000
```

***

(6)
A relaxed CaScAlSiO6 crystal. Source: Alexandria, functional PBE.

As for the space group: No. 5. As for the magnetization: 0.00 μB/atom. Its total DFT energy (no corrections) is -7.890 eV/atom. The value obtained for the volume is 12.10 Å³ per atom. The density of states at the Fermi level is 0.000 states/eV/atom. Its formation energy (no corrections) is -3.17 eV/atom.

Structure (extended XYZ):
```
20
Lattice="-4.590 -2.688 -4.190 4.377 -1.449 -4.959 0.811 -5.431 0.706" Properties=species:S:1:pos:R:3 pbc="T T T"
Ca -1.438 -5.024 -4.073
Ca 1.584 -1.835 -4.719
Sc 3.910 -4.285 -4.531
Sc -3.718 -2.568 -4.265
Al 1.068 -5.457 -6.236
Al 1.184 -3.882 -2.349
Si -0.865 -1.392 -2.599
Si -0.162 -8.400 -5.705
O 0.954 -5.658 -7.981
O 1.313 -3.679 -0.605
O -0.741 -1.171 -0.964
O -0.258 -8.618 -7.342
O 2.657 -5.482 -5.528
O 2.565 -3.447 -3.311
O -1.581 -6.849 -2.465
O -2.334 -3.343 -5.591
O 0.174 -3.980 -5.751
O 0.652 -5.556 -2.712
O -0.074 -2.776 -3.032
O 0.288 -6.845 -5.378
```

***

(7)
A relaxed YLuTe3 crystal. Source: Alexandria, functional PBE.

As for the space group: No. 12. As for the magnetization: 0.00 μB/atom. Its total DFT energy (no corrections) is -5.244 eV/atom. The value obtained for the volume is 40.45 Å³ per atom. The density of states at the Fermi level is 0.000 states/eV/atom. The calculation puts the polymorph energy (0 for the lowest one) at 0.2292 eV/atom. Its formation energy (no corrections) is -1.16 eV/atom.

Structure (extended XYZ):
```
10
Lattice="19.365 0.000 4.181 6.552 3.054 -2.005 -6.552 3.054 2.005" Properties=species:S:1:pos:R:3 pbc="T T T"
Y 23.724 3.054 1.937
Y -4.359 3.054 2.245
Lu 19.664 3.054 2.025
Lu -0.299 3.054 2.156
Te 12.928 3.054 3.993
Te 6.437 3.054 0.188
Te 17.205 3.054 4.032
Te 2.160 3.054 0.149
Te 10.901 3.054 0.216
Te 8.465 3.054 3.966
```

***

(8)
A relaxed NdDy2Cu3 crystal. Source: Alexandria, functional PBE.

As for the space group: No. 123. As for the magnetization: 0.00 μB/atom. Its total DFT energy (no corrections) is -4.595 eV/atom. The value obtained for the volume is 21.55 Å³ per atom. The density of states at the Fermi level is 0.473 states/eV/atom. Its formation enthalpy at 0 K is -0.218 eV/atom.

Structure (extended XYZ):
```
6
Lattice="-1.609 -3.045 0.583 2.265 -1.603 -2.121 6.421 -1.818 8.230" Properties=species:S:1:pos:R:3 pbc="T T T"
Nd 3.538 -3.233 3.346
Dy 5.704 -3.846 6.122
Dy 1.373 -2.620 0.570
Cu 0.000 0.000 0.000
Cu 4.370 -1.237 5.601
Cu 2.051 -0.581 2.629
```

***

(9)
A relaxed SrCdBr crystal. Source: Alexandria, functional PBE.

As for the space group: No. 216. As for the magnetization: 0.00 μB/atom. Its total DFT energy (no corrections) is -1.918 eV/atom. The value obtained for the volume is 38.34 Å³ per atom. The density of states at the Fermi level is 0.623 states/eV/atom. The calculation puts the polymorph energy (0 for the lowest one) at 0.3919 eV/atom. Its formation energy (no corrections) is -0.50 eV/atom.

Structure (extended XYZ):
```
3
Lattice="5.459 0.000 0.000 2.729 4.728 0.000 2.729 1.576 4.457" Properties=species:S:1:pos:R:3 pbc="T T T"
Sr 0.000 0.000 0.000
Br 5.459 3.152 2.229
Cd 2.729 1.576 1.114
```

***

(10)
A relaxed SrLi2NpS4 crystal. Source: Alexandria, functional PBE.

As for the space group: No. 119. As for the magnetization: 0.38 μB/atom. Its total DFT energy (no corrections) is -5.823 eV/atom. The value obtained for the volume is 22.88 Å³ per atom. The density of states at the Fermi level is 1.314 states/eV/atom. Its formation energy (no corrections) is -1.45 eV/atom.

Structure (extended XYZ):
```
8
Lattice="-5.167 0.280 -1.979 -1.934 -2.077 4.758 3.011 6.419 0.801" Properties=species:S:1:pos:R:3 pbc="T T T"
Sr -3.551 -0.899 1.390
Li -1.237 1.722 3.474
Li 0.000 0.000 0.000
Np -2.854 2.900 0.106
S -3.091 5.323 1.067
S -2.617 0.478 -0.855
S -3.825 1.899 2.500
S -0.266 2.723 1.080
```

***

(11)
A relaxed SrInAg crystal. Source: Alexandria, functional PBE.

As for the space group: No. 216. As for the magnetization: 0.00 μB/atom. Its total DFT energy (no corrections) is -2.218 eV/atom. The value obtained for the volume is 35.33 Å³ per atom. The density of states at the Fermi level is 1.041 states/eV/atom. Its formation enthalpy at 0 K is 0.206 eV/atom.

Structure (extended XYZ):
```
3
Lattice="-4.729 -0.664 -2.327 -1.816 -4.896 -0.975 -4.088 -1.922 2.794" Properties=species:S:1:pos:R:3 pbc="T T T"
Ag 0.000 0.000 0.000
In -5.317 -3.741 -0.254
Sr -7.975 -5.611 -0.381
```

***

(12)
A relaxed CePrDy2Tm4 crystal. Source: Alexandria, functional PBE.

As for the space group: No. 47. As for the magnetization: 0.12 μB/atom. Its total DFT energy (no corrections) is -4.676 eV/atom. The value obtained for the volume is 31.21 Å³ per atom. The density of states at the Fermi level is 1.634 states/eV/atom. Its formation enthalpy at 0 K is 0.050 eV/atom.

Structure (extended XYZ):
```
8
Lattice="5.042 0.000 0.000 0.000 4.886 1.161 0.000 2.604 10.754" Properties=species:S:1:pos:R:3 pbc="T T T"
Ce 0.000 3.745 5.957
Pr 2.521 5.047 11.334
Dy 0.000 2.604 10.754
Dy 2.521 1.302 5.377
Tm 0.000 5.627 8.896
Tm 5.042 1.863 3.019
Tm 2.521 4.304 3.601
Tm 2.521 3.186 8.313
```